# Ca4Al6SO16, PBEsol geometry, DFT meta-GGA SCAN
# Density of states at the Fermi level ... 0.00 states/eV per cell
# Energy relative to the elements, uncorrected ... -3.16 eV/atom
# Offset from the most stable computed form ... 0 meV per atom
data_Ca4Al6SO16
_cell_length_a 12.9926
_cell_length_b 13.1441
_cell_length_c 9.1678
_cell_angle_alpha 90.00
_cell_angle_beta 90.00
_cell_angle_gamma 90.00
_space_group_name_H-M_alt 'P c c 2'
_space_group_IT_number 27
_space_group_name_Hall 'P 2 -2c'
loop_
_atom_site_label
_atom_site_type_symbol
_atom_site_fract_x
_atom_site_fract_y
_atom_site_fract_z
_atom_site_occupancy
Ca1 Ca 0.0069 0.2455 0.0738 1
Ca2 Ca 0.2418 0.0270 0.5960 1
Ca3 Ca 0.2459 0.4346 0.6449 1
Ca4 Ca 0.4404 0.2497 0.0000 1
Al1 Al 0.0000 0.0000 0.0824 1
Al2 Al 0.0000 0.5000 0.0996 1
Al3 Al 0.1283 0.3784 0.3452 1
Al4 Al 0.1305 0.1311 0.3307 1
Al5 Al 0.3786 0.3779 0.3220 1
Al6 Al 0.3809 0.1297 0.3027 1
Al7 Al 0.5000 0.0000 0.0491 1
Al8 Al 0.5000 0.5000 0.0735 1
S1 S 0.2210 0.2359 0.8240 1
O1 O 0.0518 0.3997 0.4996 1
O2 O 0.0696 0.0949 0.4933 1
O3 O 0.0889 0.2550 0.2976 1
O4 O 0.0979 0.0633 0.1745 1
O5 O 0.1086 0.4607 0.1989 1
O6 O 0.1563 0.2725 0.7003 1
O7 O 0.1644 0.2374 0.9624 1
O8 O 0.2563 0.3952 0.4021 1
O9 O 0.2581 0.1040 0.3712 1
O10 O 0.2600 0.1318 0.7957 1
O11 O 0.3107 0.3079 0.8331 1
O12 O 0.3904 0.4671 0.1785 1
O13 O 0.3942 0.0515 0.1465 1
O14 O 0.4031 0.2563 0.2444 1
O15 O 0.4648 0.1084 0.4483 1
O16 O 0.4663 0.3919 0.4684 1